# 1
Computed, not measured: an optimized crystal structure of CePS at the PBE-GGA level of DFT.

Cell lengths 4.5192, 4.2458, 7.1377 Å; angles 107.30, 89.99, 90.00 degrees
Last column: magnetic moment on the atom in μB.
Sites, in units of the cell vectors:
P 0.2500 0.9721 0.9441  -0.02
P 0.7500 0.0279 0.0559  -0.02
S 0.7500 0.7449 0.4897  -0.03
S 0.2500 0.2551 0.5103  -0.03
Ce 0.7499 0.3727 0.7453  0.32
Ce 0.2501 0.6273 0.2547  0.32

Computed properties:
Total energy ... -6.468 eV per atom
ΔE_f (raw) ... -1311 meV/atom


# 2
Computed, not measured: an optimized crystal structure of Ce2PS2 at the PBE-GGA level of DFT.

Cell lengths 5.5583, 7.8854, 7.2943 Å; angles 122.72, 112.40, 90.00 degrees
Last column: magnetic moment on the atom in μB.
Sites, in units of the cell vectors:
S 0.3592 0.9982 0.7184  -0.03
S 0.1408 0.2798 0.2816  -0.03
S 0.8592 0.7202 0.7184  -0.03
S 0.6408 0.0018 0.2816  -0.03
P 0.2500 0.5000 0.0000  -0.04
P 0.7500 0.5000 0.0000  -0.04
Ce 0.8818 0.1077 0.7637  0.62
Ce 0.6182 0.3440 0.2363  0.62
Ce 0.3818 0.6560 0.7637  0.62
Ce 0.1182 0.8923 0.2363  0.62

Computed properties:
Total energy ... -6.749 eV per atom
ΔE_f (raw) ... -1643 meV/atom


# 3
Computed, not measured: an optimized crystal structure of CePS at the PBE-GGA level of DFT.

Cell lengths 3.8539, 3.8539, 5.2747 Å; angles 111.43, 111.43, 90.00 degrees
Last column: magnetic moment on the atom in μB.
Sites, in units of the cell vectors:
P 0.2835 0.2835 0.5670  -0.01
S 0.0430 0.0430 0.0861  -0.01
Ce 0.6735 0.6735 0.3469  0.63

Computed properties:
Total energy ... -6.297 eV per atom
ΔE_f (raw) ... -1140 meV/atom


# 4
Computed, not measured: an optimized crystal structure of Ce2PS at the PBE-GGA level of DFT.

Cell lengths 5.7398, 5.7398, 11.4983 Å; angles 90.00, 90.00, 90.00 degrees
Last column: magnetic moment on the atom in μB.
Sites, in units of the cell vectors:
Ce 0.2498 0.5000 0.8743  0.57
Ce 0.2502 0.0000 0.1243  0.57
Ce 0.7502 0.5000 0.1257  0.57
Ce 0.2502 0.5000 0.3757  0.57
Ce 0.2498 0.0000 0.6257  0.57
Ce 0.7502 0.0000 0.3743  0.57
Ce 0.7498 0.0000 0.8757  0.57
Ce 0.7498 0.5000 0.6243  0.57
P 0.7502 0.5000 0.3750  -0.02
P 0.2498 0.0000 0.8750  -0.02
P 0.7502 0.0000 0.1250  -0.02
P 0.2498 0.5000 0.6250  -0.02
S 0.2502 0.0000 0.3750  -0.02
S 0.7498 0.5000 0.8750  -0.02
S 0.7498 0.0000 0.6250  -0.02
S 0.2502 0.5000 0.1250  -0.02

Computed properties:
Total energy ... -7.148 eV per atom
E above lowest polymorph ... 0.00 eV/f.u.
ΔE_f (raw) ... -1797 meV/atom


# 5
Computed, not measured: an optimized crystal structure of Ce4PS3 at the PBE-GGA level of DFT.

Cell lengths 5.7014, 5.7014, 5.7014 Å; angles 90.00, 90.00, 90.00 degrees
Last column: magnetic moment on the atom in μB.
Sites, in units of the cell vectors:
S 0.5000 0.0000 0.5000  0.00
S 0.5000 0.5000 0.0000  0.00
S 0.0000 0.5000 0.5000  0.00
Ce 0.0000 0.0000 0.5000  -0.24
Ce 0.5000 0.0000 0.0000  -0.24
Ce 0.0000 0.5000 0.0000  -0.24
Ce 0.5000 0.5000 0.5000  0.57
P 0.0000 0.0000 0.0000  0.01

Computed properties:
Total energy ... -7.120 eV per atom
ΔE_f (raw) ... -1929 meV/atom


# 6
Computed, not measured: an optimized crystal structure of Ce6P5S at the PBE-GGA level of DFT.

Cell lengths 7.0711, 7.0724, 7.0717 Å; angles 60.00, 80.41, 70.53 degrees
Last column: magnetic moment on the atom in μB.
Sites, in units of the cell vectors:
P 0.0000 0.3333 0.3335  -0.03
P 0.0000 0.6667 0.6665  -0.03
P 0.5000 0.1664 0.6673  -0.03
P 0.5000 0.5000 0.0000  -0.03
P 0.5000 0.8336 0.3327  -0.03
Ce 0.7493 0.4177 0.6659  0.56
Ce 0.7493 0.0836 0.3341  0.56
Ce 0.7494 0.7494 0.0000  0.55
Ce 0.2507 0.5823 0.3341  0.56
Ce 0.2507 0.9164 0.6659  0.56
Ce 0.2506 0.2506 0.0000  0.55
S 0.0000 0.0000 0.0000  -0.02

Computed properties:
Total energy ... -7.167 eV per atom
ΔE_f (raw) ... -1602 meV/atom


# 7
Computed, not measured: an optimized crystal structure of Ce5P4S at the PBE-GGA level of DFT.

Cell lengths 4.0792, 4.0792, 14.7103 Å; angles 97.97, 97.97, 90.00 degrees
Last column: magnetic moment on the atom in μB.
Sites, in units of the cell vectors:
Ce 0.8999 0.8999 0.7997  0.52
Ce 0.6999 0.6999 0.3998  0.49
Ce 0.1001 0.1001 0.2003  0.52
Ce 0.5000 0.5000 0.0000  0.71
Ce 0.3001 0.3001 0.6002  0.49
P 0.4005 0.4005 0.8009  -0.03
P 0.5995 0.5995 0.1991  -0.03
P 0.1999 0.1999 0.3999  -0.03
P 0.8001 0.8001 0.6001  -0.03
S 0.0000 0.0000 0.0000  -0.02

Computed properties:
Total energy ... -7.160 eV per atom
E above lowest polymorph ... 0.04 eV/f.u.
ΔE_f (raw) ... -1617 meV/atom


# 8
Computed, not measured: an optimized crystal structure of Ce4SbPS2 at the PBE-GGA level of DFT.

Cell lengths 4.1558, 7.1787, 7.2667 Å; angles 70.60, 90.00, 90.00 degrees
Last column: magnetic moment on the atom in μB.
Sites, in units of the cell vectors:
S 0.5000 0.0000 0.5000  -0.03
S 0.0000 0.0000 0.0000  -0.03
Sb 0.5000 0.5000 0.0000  -0.02
Ce 0.5000 0.2426 0.7374  0.68
Ce 0.0000 0.2305 0.2718  0.62
Ce 0.5000 0.7574 0.2626  0.68
Ce 0.0000 0.7695 0.7282  0.62
P 0.0000 0.5000 0.5000  -0.03

Computed properties:
Total energy ... -6.801 eV per atom
ΔE_f (raw) ... -1611 meV/atom


# 9
Computed, not measured: an optimized crystal structure of CeScPS at the PBE-GGA level of DFT.

Cell lengths 3.8941, 3.8941, 6.7653 Å; angles 73.27, 73.27, 60.00 degrees
Last column: magnetic moment on the atom in μB.
Sites, in units of the cell vectors:
Sc 0.5017 0.5017 0.4948  0.01
S 0.7576 0.7576 0.7271  -0.01
Ce 0.9982 0.9982 0.0054  0.55
P 0.2424 0.2424 0.2728  -0.01

Computed properties:
Total energy ... -7.191 eV per atom
ΔE_f (raw) ... -1741 meV/atom


# 10
Computed, not measured: an optimized crystal structure of Ce6P2Se3S at the PBE-GGA level of DFT.

Cell lengths 4.1234, 8.3099, 9.2744 Å; angles 103.53, 102.84, 90.00 degrees
Last column: magnetic moment on the atom in μB.
Sites, in units of the cell vectors:
Se 0.8331 0.1665 0.6662  -0.02
Se 0.1669 0.8335 0.3338  -0.02
Se 0.5000 0.5000 0.0000  -0.02
Ce 0.0035 0.2415 0.0070  0.74
Ce 0.3297 0.4255 0.6593  0.64
Ce 0.6633 0.0922 0.3266  0.68
Ce 0.9965 0.7585 0.9930  0.74
Ce 0.6703 0.5745 0.3407  0.64
Ce 0.3367 0.9078 0.6734  0.68
S 0.5000 0.0000 0.0000  -0.02
P 0.8337 0.6674 0.6675  -0.03
P 0.1663 0.3326 0.3325  -0.03

Computed properties:
Total energy ... -6.861 eV per atom
ΔE_f (raw) ... -1777 meV/atom


# 11
Computed, not measured: an optimized crystal structure of Ce4SiP2S at the PBE-GGA level of DFT.

Cell lengths 4.1053, 7.1141, 7.1018 Å; angles 70.54, 90.00, 90.00 degrees
Last column: magnetic moment on the atom in μB.
Sites, in units of the cell vectors:
P 0.5000 0.0000 0.5000  -0.02
P 0.0000 0.0000 0.0000  -0.03
Ce 0.0000 0.7545 0.7464  0.42
Ce 0.0000 0.2455 0.2536  0.42
Ce 0.5000 0.2464 0.7498  0.58
Ce 0.5000 0.7536 0.2502  0.58
Si 0.5000 0.5000 0.0000  -0.02
S 0.0000 0.5000 0.5000  -0.02

Computed properties:
Total energy ... -6.913 eV per atom
ΔE_f (raw) ... -1399 meV/atom


# 12
Computed, not measured: an optimized crystal structure of SrCeP2S8 at the PBE-GGA level of DFT.

Cell lengths 6.0601, 6.0601, 9.1642 Å; angles 90.00, 90.00, 120.00 degrees
Last column: magnetic moment on the atom in μB.
Sites, in units of the cell vectors:
S 0.3461 0.9974 0.6950  -0.01
S 0.3486 0.3461 0.3050  -0.01
S 0.6539 0.0026 0.3050  -0.01
S 0.6667 0.3333 0.0166  -0.01
S 0.3333 0.6667 0.9834  -0.01
S 0.9974 0.6514 0.3050  -0.01
S 0.6514 0.6539 0.6950  -0.01
S 0.0026 0.3486 0.6950  -0.01
P 0.6667 0.3333 0.2346  0.00
P 0.3333 0.6667 0.7654  0.00
Sr 0.0000 0.0000 0.0000  0.00
Ce 0.0000 0.0000 0.5000  0.18

Computed properties:
Total energy ... -5.142 eV per atom
ΔE_f (raw) ... -854 meV/atom


# 13
Computed, not measured: an optimized crystal structure of Ce6TeP2S3 at the PBE-GGA level of DFT.

Cell lengths 4.1169, 8.2953, 9.2046 Å; angles 102.41, 102.92, 90.00 degrees
Last column: magnetic moment on the atom in μB.
Sites, in units of the cell vectors:
S 0.8367 0.1685 0.6735  -0.02
S 0.1633 0.8315 0.3265  -0.02
S 0.5000 0.5000 0.0000  -0.02
Ce 0.6757 0.0913 0.3515  0.71
Ce 0.0023 0.2751 0.0046  0.68
Ce 0.3243 0.9087 0.6485  0.71
Ce 0.3329 0.4187 0.6658  0.62
Ce 0.9977 0.7249 0.9954  0.68
Ce 0.6671 0.5813 0.3342  0.62
Te 0.5000 0.0000 0.0000  -0.02
P 0.1679 0.3342 0.3358  -0.03
P 0.8321 0.6658 0.6642  -0.03

Computed properties:
Total energy ... -6.894 eV per atom
ΔE_f (raw) ... -1731 meV/atom


# 14
Computed, not measured: an optimized crystal structure of Ce4TeP2S at the PBE-GGA level of DFT.

Cell lengths 4.1569, 7.2940, 7.2390 Å; angles 70.87, 90.00, 90.00 degrees
Last column: magnetic moment on the atom in μB.
Sites, in units of the cell vectors:
P 0.5000 0.0000 0.5000  -0.03
P 0.0000 0.0000 0.0000  -0.03
S 0.0000 0.5000 0.5000  -0.02
Te 0.5000 0.5000 0.0000  -0.02
Ce 0.0000 0.7737 0.7292  0.67
Ce 0.0000 0.2263 0.2708  0.67
Ce 0.5000 0.7645 0.2578  0.72
Ce 0.5000 0.2355 0.7422  0.72

Computed properties:
Total energy ... -6.815 eV per atom
ΔE_f (raw) ... -1587 meV/atom


# 15
Computed, not measured: an optimized crystal structure of Ce4TePS2 at the PBE-GGA level of DFT.

Cell lengths 4.1357, 7.1753, 7.2710 Å; angles 70.82, 90.00, 90.00 degrees
Last column: magnetic moment on the atom in μB.
Sites, in units of the cell vectors:
Ce 0.0000 0.7728 0.7242  0.69
Ce 0.0000 0.2272 0.2758  0.69
Ce 0.5000 0.7588 0.2648  0.68
Ce 0.5000 0.2412 0.7352  0.68
S 0.5000 0.0000 0.5000  -0.02
S 0.0000 0.0000 0.0000  -0.02
P 0.0000 0.5000 0.5000  -0.03
Te 0.5000 0.5000 0.0000  -0.02

Computed properties:
Total energy ... -6.775 eV per atom
ΔE_f (raw) ... -1707 meV/atom


# 16
Computed, not measured: an optimized crystal structure of Ce8Te4PS3 at the PBE-GGA level of DFT.

Cell lengths 8.3944, 8.6481, 8.3942 Å; angles 119.03, 120.00, 90.00 degrees
Last column: magnetic moment on the atom in μB.
Sites, in units of the cell vectors:
Ce 0.2624 0.2871 0.5248  0.73
Ce 0.2373 0.7126 0.9753  -0.73
Ce 0.2619 0.2874 0.0247  -0.73
Ce 0.7627 0.2874 0.5255  -0.73
Ce 0.7376 0.7129 0.4752  0.73
Ce 0.7381 0.7126 0.9753  -0.73
Ce 0.7627 0.2874 0.0247  -0.73
Ce 0.2373 0.7126 0.4745  -0.73
S 0.5000 0.5000 0.5000  0.01
S 0.5000 0.5000 0.0000  0.01
S 0.0000 0.5000 0.5000  0.01
P 0.0000 0.5000 0.0000  0.03
Te 0.0000 0.0000 0.0000  0.01
Te 0.0000 0.0000 0.5000  0.01
Te 0.5000 0.0000 0.5000  0.01
Te 0.5000 0.0000 0.0000  0.02

Computed properties:
Total energy ... -6.496 eV per atom
ΔE_f (raw) ... -1632 meV/atom


# 17
Computed, not measured: an optimized crystal structure of CeTl2P2S7 at the PBE-GGA level of DFT.

Cell lengths 6.7824, 9.7398, 20.1036 Å; angles 97.12, 90.00, 90.00 degrees
Last column: magnetic moment on the atom in μB.
Sites, in units of the cell vectors:
Tl 0.4711 0.7579 0.9932  0.00
Tl 0.9827 0.6229 0.8247  0.00
Tl 0.9711 0.7421 0.5068  0.00
Tl 0.0173 0.3771 0.1753  0.00
Tl 0.4827 0.8771 0.6753  0.00
Tl 0.5289 0.2421 0.0068  0.00
Tl 0.5173 0.1229 0.3247  0.00
Tl 0.0289 0.2579 0.4932  0.00
S 0.9769 0.7387 0.9789  0.00
S 0.0568 0.6963 0.2822  -0.01
S 0.2588 0.5065 0.5997  -0.01
S 0.9432 0.3037 0.7178  -0.01
S 0.4432 0.1963 0.7822  -0.01
S 0.7442 0.3985 0.8922  0.00
S 0.7526 0.0302 0.0982  -0.01
S 0.4769 0.7613 0.5211  0.00
S 0.5568 0.8037 0.2178  -0.01
S 0.7474 0.5302 0.5982  -0.01
S 0.2406 0.9289 0.3989  0.00
S 0.2474 0.9698 0.9018  -0.01
S 0.2526 0.4698 0.4018  -0.01
S 0.7594 0.0711 0.6011  0.00
S 0.0096 0.9681 0.7325  -0.01
S 0.2558 0.6015 0.1078  0.00
S 0.5096 0.5319 0.7675  -0.01
S 0.7406 0.5711 0.1011  0.00
S 0.2412 0.0065 0.0997  -0.01
S 0.7558 0.8985 0.3922  0.00
S 0.7588 0.9935 0.9003  -0.01
S 0.0231 0.2613 0.0211  0.00
S 0.2594 0.4289 0.8989  0.00
S 0.5231 0.2387 0.4789  0.00
S 0.2442 0.1015 0.6078  0.00
S 0.9904 0.0319 0.2675  -0.01
S 0.4904 0.4681 0.2325  -0.01
S 0.7412 0.4935 0.4003  -0.01
Ce 0.9686 0.8155 0.1555  0.95
Ce 0.5314 0.3155 0.6555  0.95
Ce 0.0314 0.1845 0.8445  0.95
Ce 0.4686 0.6845 0.3445  0.95
P 0.5053 0.4309 0.4513  0.00
P 0.0074 0.8906 0.3340  0.01
P 0.9947 0.9309 0.9513  0.00
P 0.0053 0.0691 0.0487  0.00
P 0.9926 0.1094 0.6660  0.01
P 0.4947 0.5691 0.5487  0.00
P 0.4926 0.3906 0.8340  0.01
P 0.5074 0.6094 0.1660  0.01

Computed properties:
Total energy ... -4.935 eV per atom
ΔE_f (raw) ... -737 meV/atom


# 18
Computed, not measured: an optimized crystal structure of CeTlP2S6 at the PBE-GGA level of DFT.

Cell lengths 7.6047, 11.3905, 12.2906 Å; angles 71.03, 90.00, 90.00 degrees
Last column: magnetic moment on the atom in μB.
Sites, in units of the cell vectors:
S 0.1822 0.5669 0.4136  -0.01
S 0.2832 0.8558 0.2337  0.00
S 0.7927 0.9041 0.1386  0.00
S 0.4758 0.6872 0.5501  -0.01
S 0.3095 0.3658 0.6714  -0.01
S 0.8095 0.1342 0.3286  -0.01
S 0.0242 0.1872 0.5501  -0.01
S 0.6822 0.9331 0.5864  -0.01
S 0.8178 0.4331 0.5864  -0.01
S 0.4755 0.8745 0.8748  0.00
S 0.7073 0.4041 0.1386  0.00
S 0.2073 0.0959 0.8614  0.00
S 0.5242 0.3128 0.4499  -0.01
S 0.9755 0.6255 0.1252  0.00
S 0.1905 0.8658 0.6714  -0.01
S 0.3178 0.0669 0.4136  -0.01
S 0.7832 0.6442 0.7663  0.00
S 0.9758 0.8128 0.4499  -0.01
S 0.5245 0.1255 0.1252  0.00
S 0.6905 0.6342 0.3286  -0.01
S 0.2168 0.3558 0.2337  0.00
S 0.7168 0.1442 0.7663  0.00
S 0.2927 0.5959 0.8614  0.00
S 0.0245 0.3745 0.8748  0.00
Tl 0.9029 0.8708 0.8728  0.00
Tl 0.4029 0.6292 0.1272  0.00
Tl 0.0971 0.1292 0.1272  0.00
Tl 0.5971 0.3708 0.8728  0.00
P 0.5970 0.7561 0.6658  0.00
P 0.4030 0.2439 0.3342  0.00
P 0.1209 0.2712 0.7833  0.00
P 0.0970 0.7439 0.3342  0.00
P 0.6209 0.2288 0.2167  0.00
P 0.3791 0.7712 0.7833  0.00
P 0.9030 0.2561 0.6658  0.00
P 0.8791 0.7288 0.2167  0.00
Ce 0.6070 0.9014 0.3545  0.97
Ce 0.1070 0.5986 0.6455  0.97
Ce 0.3930 0.0986 0.6455  0.97
Ce 0.8930 0.4014 0.3545  0.97

Computed properties:
Total energy ... -5.165 eV per atom
ΔE_f (raw) ... -777 meV/atom


# 19
Computed, not measured: an optimized crystal structure of CeTl2P2S6 at the PBE-GGA level of DFT.

Cell lengths 7.0049, 6.5453, 8.3879 Å; angles 109.69, 90.00, 122.35 degrees
Last column: magnetic moment on the atom in μB.
Sites, in units of the cell vectors:
S 0.2416 0.4832 0.4413  -0.01
S 0.8047 0.0882 0.7695  -0.01
S 0.7165 0.9118 0.2305  -0.01
S 0.7584 0.5168 0.5587  -0.01
S 0.1953 0.9118 0.2305  -0.01
S 0.2835 0.0882 0.7695  -0.01
Tl 0.3090 0.6180 0.8541  0.00
Tl 0.6910 0.3820 0.1459  0.00
P 0.0691 0.1382 0.2111  0.00
P 0.9309 0.8618 0.7889  0.00
Ce 0.5000 0.0000 0.5000  0.19

Computed properties:
Total energy ... -4.807 eV per atom
ΔE_f (raw) ... -602 meV/atom


# 20
Computed, not measured: an optimized crystal structure of CeZrPS at the PBE-GGA level of DFT.

Cell lengths 3.7750, 3.7749, 7.1701 Å; angles 90.00, 105.26, 119.99 degrees
Last column: magnetic moment on the atom in μB.
Sites, in units of the cell vectors:
Zr 0.3143 0.5551 0.8846  0.02
Ce 0.9569 0.3765 0.3485  0.74
P 0.1202 0.9581 0.0936  -0.01
S 0.4865 0.1412 0.6430  -0.01

Computed properties:
Total energy ... -7.563 eV per atom
ΔE_f (raw) ... -1558 meV/atom